Record 1
The following is a DFT calculation (PBE) of a relaxed structure of Nd4TlSn2.

Properties
Space-group type = P2_1/m
E = -0.1717 Ha/atom
Calculated volume = 429 Å³/cell
ΔE_f = -0.47 eV/atom

Cell: 5.950 6.703 10.945 Å, 90.00 100.79 90.00°
Element x y z (fractional)
1 Nd 0.144 0.250 0.125
2 Nd 0.252 0.750 0.451
3 Nd 0.319 0.013 0.736
4 Nd 0.319 0.487 0.736
5 Nd 0.681 0.513 0.264
6 Nd 0.681 0.987 0.264
7 Nd 0.748 0.250 0.549
8 Nd 0.856 0.750 0.875
9 Tl 0.102 0.750 0.170
10 Tl 0.898 0.250 0.830
11 Sn 0.213 0.250 0.434
12 Sn 0.412 0.750 0.999
13 Sn 0.588 0.250 0.001
14 Sn 0.787 0.750 0.566

Record 2
The following is a DFT calculation (PBE) of a relaxed structure of Nd5TlSn3.

Properties
Space-group type = P6_3/mcm
E = -0.1796 Ha/atom
Calculated volume = 544 Å³/cell
ΔE_f = -0.64 eV/atom

Cell: 9.657 9.657 6.737 Å, 90.00 90.00 120.00°
Element x y z (fractional)
1 Nd 0.000 0.282 0.250
2 Nd 0.000 0.718 0.750
3 Nd 0.282 0.000 0.250
4 Nd 0.282 0.282 0.750
5 Nd 0.333 0.667 0.000
6 Nd 0.333 0.667 0.500
7 Nd 0.667 0.333 0.000
8 Nd 0.667 0.333 0.500
9 Nd 0.718 0.000 0.750
10 Nd 0.718 0.718 0.250
11 Tl 0.000 0.000 0.000
12 Tl 0.000 0.000 0.500
13 Sn 0.000 0.374 0.750
14 Sn 0.000 0.626 0.250
15 Sn 0.374 0.000 0.750
16 Sn 0.374 0.374 0.250
17 Sn 0.626 0.000 0.250
18 Sn 0.626 0.626 0.750